Entry 1:
Density functional theory data (PBE) for ZrINF2 after structural relaxation.

Summary:
Its theoretical density is 5.53 Mg/m³. For the uncorrected formation energy, the calculation gives -1511 meV per atom. As for the symmetry: P4/mmm (123). Its energy above the lowest structure with this stoichiometry is 0.0 meV/atom. The value obtained for the density of states at the Fermi level is 1.35 states/eV/cell. The value obtained for the size of the total moment is 0.0 μB per cell.

abc: 4.254 4.254 4.480
angles: 90.00 90.00 90.00
Element x y z (fractional)
Zr  0.000  0.000  0.000
I  0.500  0.500  0.500
N  0.000  0.000  0.500
F  0.000  0.500  0.000
F  0.500  0.000  0.000

=====

Entry 2:
Density functional theory data (PBE) for ZrIN2F after structural relaxation.

Summary:
Its theoretical density is 4.21 Mg/m³. For the uncorrected formation energy, the calculation gives 333 meV per atom. As for the symmetry: P4/mmm (123). Its energy above the lowest structure with this stoichiometry is 614.5 meV/atom. The value obtained for the density of states at the Fermi level is 4.23 states/eV/cell. The value obtained for the size of the total moment is 0.0 μB per cell.

abc: 4.115 4.115 6.173
angles: 90.00 90.00 90.00
Element x y z (fractional)
Zr  0.000  0.000  0.000
I  0.000  0.000  0.500
N  0.000  0.500  0.000
N  0.500  0.000  0.000
F  0.500  0.500  0.500

=====

Entry 3:
Density functional theory data (PBE) for ZrINF2 after structural relaxation.

Summary:
Its theoretical density is 4.70 Mg/m³. For the uncorrected formation energy, the calculation gives 439 meV per atom. As for the symmetry: P4/mmm (123). Its energy above the lowest structure with this stoichiometry is 1950.7 meV/atom. The value obtained for the density of states at the Fermi level is 5.72 states/eV/cell. The value obtained for the size of the total moment is 1.5 μB per cell.

abc: 4.836 4.836 4.079
angles: 90.00 90.00 90.00
Element x y z (fractional)
Zr  0.000  0.000  0.000
I  0.500  0.500  0.500
N  0.500  0.500  0.000
F  0.000  0.500  0.500
F  0.500  0.000  0.500

=====

Entry 4:
Density functional theory data (PBE) for ZrIN2F after structural relaxation.

Summary:
Its theoretical density is 5.47 Mg/m³. For the uncorrected formation energy, the calculation gives -282 meV per atom. As for the symmetry: P4/mmm (123). Its energy above the lowest structure with this stoichiometry is 0.0 meV/atom. The value obtained for the density of states at the Fermi level is 2.96 states/eV/cell. The value obtained for the size of the total moment is 0.0 μB per cell.

abc: 4.399 4.399 4.158
angles: 90.00 90.00 90.00
Element x y z (fractional)
Zr  0.000  0.000  0.000
I  0.500  0.500  0.500
N  0.000  0.500  0.000
N  0.500  0.000  0.000
F  0.000  0.000  0.500